This record from the Alexandria database describes an optimized crystal structure of Pa2TcTe. The functional is GGA-PBE.

Structure (extended XYZ):
```
4
Lattice="4.401 0.000 0.000 0.000 4.401 0.000 0.000 0.000 4.469" Properties=species:S:1:pos:R:3 pbc="T T T"
Pa 0.000 2.201 0.000
Pa 2.201 0.000 0.000
Tc 0.000 0.000 2.235
Te 2.201 2.201 2.235
```

Values from the calculation:
Total magnetic moment in μB/cell: 0.0
Raw formation energy in meV per atom: -153
Relative energy among the computed polymorphs in meV/atom: 306


This record from the Alexandria database describes an optimized crystal structure of Pa2TcTe. The functional is GGA-PBE.

Structure (extended XYZ):
```
4
Lattice="2.018 1.165 7.403 -2.018 1.165 7.403 0.000 -2.330 7.403" Properties=species:S:1:pos:R:3 pbc="T T T"
Pa 0.000 0.000 5.192
Pa 0.000 0.000 17.017
Tc 0.000 0.000 11.104
Te 0.000 0.000 0.000
```

Values from the calculation:
Total magnetic moment in μB/cell: 0.0
Raw formation energy in meV per atom: -459
Relative energy among the computed polymorphs in meV/atom: 0


This record from the Alexandria database describes an optimized crystal structure of ThPaTc4. The functional is GGA-PBE.

Structure (extended XYZ):
```
6
Lattice="0.000 3.844 3.844 3.844 0.000 3.844 3.844 3.844 0.000" Properties=species:S:1:pos:R:3 pbc="T T T"
Th 0.000 0.000 0.000
Pa 1.922 1.922 1.922
Tc 4.804 2.883 2.883
Tc 2.883 4.804 2.883
Tc 2.883 2.883 4.804
Tc 4.804 4.804 4.804
```

Values from the calculation:
Total magnetic moment in μB/cell: 0.0
Formation energy in meV/atom: -108


This record from the Alexandria database describes an optimized crystal structure of ThPaTc. The functional is GGA-PBE.

Structure (extended XYZ):
```
6
Lattice="-3.021 3.089 3.777 3.021 -3.089 3.777 3.021 3.089 -3.777" Properties=species:S:1:pos:R:3 pbc="T T T"
Th 0.000 1.544 0.822
Th 3.021 1.544 2.954
Pa 3.021 0.000 0.000
Pa 0.000 0.000 3.777
Tc 1.511 1.544 -1.888
Tc 1.511 -1.544 1.888
```

Values from the calculation:
Total magnetic moment in μB/cell: 0.0
Formation energy in meV/atom: -118
Relative energy among the computed polymorphs in meV/atom: 0


This record from the Alexandria database describes an optimized crystal structure of ThPaTc. The functional is GGA-PBE.

Structure (extended XYZ):
```
3
Lattice="4.786 0.000 0.000 -2.393 4.145 0.000 0.000 0.000 3.493" Properties=species:S:1:pos:R:3 pbc="T T T"
Th 0.000 0.000 0.000
Pa 0.000 2.763 2.230
Tc 2.393 1.382 1.223
```

Values from the calculation:
Total magnetic moment in μB/cell: 0.0
Formation energy in meV/atom: 0
Relative energy among the computed polymorphs in meV/atom: 118


This record from the Alexandria database describes an optimized crystal structure of ThPaTc. The functional is GGA-PBE.

Structure (extended XYZ):
```
3
Lattice="-1.793 1.793 5.418 1.793 -1.793 5.418 1.793 1.793 -5.418" Properties=species:S:1:pos:R:3 pbc="T T T"
Th 0.000 0.000 0.000
Pa 0.000 0.000 3.359
Tc 0.000 0.000 7.411
```

Values from the calculation:
Total magnetic moment in μB/cell: 0.0
Formation energy in meV/atom: -117
Relative energy among the computed polymorphs in meV/atom: 1


This record from the Alexandria database describes an optimized crystal structure of ThPa2Tc3. The functional is GGA-PBE.

Structure (extended XYZ):
```
6
Lattice="6.115 0.000 0.000 -3.057 5.295 0.000 0.000 0.000 4.074" Properties=species:S:1:pos:R:3 pbc="T T T"
Th 0.000 0.000 0.000
Pa 0.000 3.530 0.000
Pa 3.057 1.765 0.000
Tc -1.529 2.648 2.037
Tc 3.057 0.000 2.037
Tc 1.529 2.648 2.037
```

Values from the calculation:
Total magnetic moment in μB/cell: 0.0
Formation energy in meV/atom: -174


This record from the Alexandria database describes an optimized crystal structure of Y2ThPaTc2. The functional is GGA-PBE.

Structure (extended XYZ):
```
12
Lattice="-3.539 6.676 3.415 3.539 -6.676 3.415 3.539 6.676 -3.415" Properties=species:S:1:pos:R:3 pbc="T T T"
Y 1.342 2.612 0.000
Y 4.881 4.064 0.000
Y -1.342 2.612 3.415
Y 2.198 4.064 3.415
Th 3.539 0.000 1.707
Th 0.000 6.676 1.707
Pa 0.000 0.000 1.707
Pa 0.000 0.000 5.122
Tc 5.542 1.261 0.000
Tc 2.003 5.415 0.000
Tc 1.537 1.261 3.415
Tc -2.003 5.415 3.415
```

Values from the calculation:
Total magnetic moment in μB/cell: 0.0
Formation energy in meV/atom: -68


This record from the Alexandria database describes an optimized crystal structure of ThPaZnTc. The functional is GGA-PBE.

Structure (extended XYZ):
```
4
Lattice="0.000 3.541 3.541 3.541 0.000 3.541 3.541 3.541 0.000" Properties=species:S:1:pos:R:3 pbc="T T T"
Th 0.000 0.000 0.000
Pa 3.541 3.541 3.541
Zn 1.771 1.771 1.771
Tc 5.312 5.312 5.312
```

Values from the calculation:
Total magnetic moment in μB/cell: 0.0
Formation energy in meV/atom: -31


This record from the Alexandria database describes an optimized crystal structure of PaTi4Tc. The functional is GGA-PBE.

Structure (extended XYZ):
```
6
Lattice="4.912 -2.318 0.000 4.912 2.318 0.000 -3.024 0.000 4.591" Properties=species:S:1:pos:R:3 pbc="T T T"
Pa 0.000 0.000 0.000
Ti 1.094 0.000 3.079
Ti 2.748 0.000 0.902
Ti 4.052 0.000 3.689
Ti 5.705 0.000 1.512
Tc -1.512 0.000 2.296
```

Values from the calculation:
Total magnetic moment in μB/cell: 0.0
Formation energy in meV/atom: -164


This record from the Alexandria database describes an optimized crystal structure of PaTi3Tc4. The functional is GGA-PBE.

Structure (extended XYZ):
```
8
Lattice="3.212 0.000 0.000 0.000 4.552 0.000 0.000 0.000 8.898" Properties=species:S:1:pos:R:3 pbc="T T T"
Pa 0.000 0.000 0.000
Ti 0.000 0.000 4.449
Ti 0.000 2.276 2.398
Ti 0.000 2.276 6.500
Tc 1.606 0.000 2.281
Tc 1.606 0.000 6.617
Tc 1.606 2.276 0.000
Tc 1.606 2.276 4.449
```

Values from the calculation:
Total magnetic moment in μB/cell: 0.0
Formation energy in meV/atom: -440


This record from the Alexandria database describes an optimized crystal structure of PaTiVTc. The functional is GGA-PBE.

Structure (extended XYZ):
```
4
Lattice="0.000 3.248 3.248 3.248 0.000 3.248 3.248 3.248 0.000" Properties=species:S:1:pos:R:3 pbc="T T T"
Pa 0.000 0.000 0.000
Ti 3.248 3.248 3.248
V 1.624 1.624 1.624
Tc 4.871 4.871 4.871
```

Values from the calculation:
Total magnetic moment in μB/cell: 0.0
Formation energy in meV/atom: -160


Question: Number 3 is which compound?
Answer: ThPaTc4